## MoSe2O6 (PBE+U)

Data for MoSe2O6 after structural relaxation.

Geometry as extended XYZ:
```
9
Lattice="4.578 0.002 1.930 1.878 4.174 1.936 -0.421 -0.272 7.357" Properties=species:S:1:pos:R:3 pbc="T T T"
O 0.745 1.496 6.909
O 2.866 2.730 8.140
O 3.021 0.070 7.478
O 3.127 1.151 3.052
O 5.337 2.379 4.324
O 3.013 3.891 3.757
Mo 3.885 2.513 9.932
Se 1.409 0.909 3.052
Se 2.476 1.604 6.880
```

VASP energy = -5.882 eV/atom
V = 16.2 A^3/atom
space-group type = P1
M_tot = 2.000 μB/f.u.